(1)
! MnFe2Rh | Alexandria | PBE | relaxed; values from VASP
&SYSTEM
  ibrav = 0, nat = 8, ntyp = 3
/
ATOMIC_SPECIES
Mn 54.94 Mn.upf
Fe 55.84 Fe.upf
Rh 102.91 Rh.upf
CELL_PARAMETERS angstrom
-1.756 1.756 9.110
1.756 -1.756 9.110
1.756 1.756 -9.110
ATOMIC_POSITIONS crystal
Mn 0.000 0.000 0.000
Mn 0.750 0.250 0.500
Fe 0.120 0.625 0.995
Fe 0.375 0.370 0.495
Fe 0.630 0.125 0.005
Fe 0.875 0.880 0.505
Rh 0.250 0.750 0.500
Rh 0.500 0.500 0.000
! N(E_F)   13.197 states/eV/cell
! Uncorrected energy   -7.872 eV per atom
! Formation enthalpy at 0 K   490 meV per atom
! Space group   No. 122



(2)
! MnAgSe2 | Alexandria | PBE | relaxed; values from VASP
&SYSTEM
  ibrav = 0, nat = 4, ntyp = 3
/
ATOMIC_SPECIES
Mn 54.94 Mn.upf
Ag 107.87 Ag.upf
Se 78.96 Se.upf
CELL_PARAMETERS angstrom
-1.811 3.535 3.759
1.811 -3.535 3.759
1.811 3.535 -3.759
ATOMIC_POSITIONS crystal
Mn 0.000 0.000 0.000
Ag 0.500 0.500 0.000
Se 0.222 0.722 0.500
Se 0.778 0.278 0.500
! N(E_F)   1.360 states/eV/cell
! Uncorrected energy   -4.778 eV per atom
! Space group   No. 71
! Raw formation energy   -0.03 eV/atom



(3)
! Tb2Pr3DyEr6 | Alexandria | PBE | relaxed; values from VASP
&SYSTEM
  ibrav = 0, nat = 12, ntyp = 4
/
ATOMIC_SPECIES
Tb 158.93 Tb.upf
Pr 140.91 Pr.upf
Dy 162.50 Dy.upf
Er 167.26 Er.upf
CELL_PARAMETERS angstrom
3.099 -5.364 0.000
3.099 5.364 0.000
-2.058 0.000 11.575
ATOMIC_POSITIONS crystal
Tb 0.167 0.833 0.000
Tb 0.833 0.167 0.000
Pr 0.000 0.000 0.500
Pr 0.333 0.667 0.500
Pr 0.667 0.333 0.500
Dy 0.500 0.500 0.000
Er 0.085 0.418 0.754
Er 0.249 0.249 0.246
Er 0.418 0.085 0.754
Er 0.582 0.915 0.246
Er 0.751 0.751 0.754
Er 0.915 0.582 0.246
! N(E_F)   14.732 states/eV/cell
! Uncorrected energy   -4.611 eV per atom
! Formation enthalpy at 0 K   20 meV per atom
! Space group   No. 12



(4)
! Sr2CoTeN | Alexandria | PBE | relaxed; values from VASP
&SYSTEM
  ibrav = 0, nat = 5, ntyp = 4
/
ATOMIC_SPECIES
Sr 87.62 Sr.upf
Co 58.93 Co.upf
Te 127.60 Te.upf
N 14.01 N.upf
CELL_PARAMETERS angstrom
5.586 0.000 0.000
0.000 5.586 0.000
0.000 0.000 3.653
ATOMIC_POSITIONS crystal
Sr 0.000 0.500 0.000
Sr 0.500 0.000 0.000
Co 0.000 0.000 0.500
Te 0.500 0.500 0.500
N 0.000 0.000 0.000
! N(E_F)   3.274 states/eV/cell
! Uncorrected energy   -5.195 eV per atom
! Space group   No. 123
! Raw formation energy   -0.81 eV/atom



The lowest N(E_F) belongs to which entry?
MnAgSe2